# AgOs3Au | Alexandria | PBE | relaxed
# **ΔE to the lowest computed polymorph**: 0.0 kJ/mol of formula units
# **ρ**: 12482 kg/m3
# **Total magnetization**: 6.3 μB per cell
# **E_tot**: -4.996 eV per atom
data_AgOs3Au
_symmetry_space_group_name_H-M 'P m -3 m'
_symmetry_Int_Tables_number 221
_symmetry_space_group_name_Hall '-P 4 2 3'
_cell_length_a 4.884
_cell_length_b 4.884
_cell_length_c 4.884
_cell_angle_alpha 90.00
_cell_angle_beta 90.00
_cell_angle_gamma 90.00
loop_
_atom_site_label
_atom_site_type_symbol
_atom_site_fract_x
_atom_site_fract_y
_atom_site_fract_z
Ag1 Ag 0.000 0.000 0.000
Os1 Os 0.000 0.500 0.500
Au1 Au 0.500 0.500 0.500